RbCF2 (PBE, relaxed); raw formation energy = -0.289 eV/atom; SG = No. 166; excess energy over the best structure of this formula in the dataset = 0.0 meV per atom
1.0
2.047 1.182 6.474
-2.047 1.182 6.474
0.000 -2.364 6.474
Rb C F
1 1 2
Cartesian
0.000 0.000 0.000
0.000 0.000 9.711
0.000 0.000 7.949
0.000 0.000 11.474

***

RbC3F (PBE, relaxed); raw formation energy = 3.242 eV/atom; SG = No. 221; excess energy over the best structure of this formula in the dataset = 0.0 meV per atom
1.0
4.445 0.000 0.000
0.000 4.445 0.000
0.000 0.000 4.445
Rb C F
1 3 1
Cartesian
0.000 0.000 0.000
0.000 2.222 2.222
2.222 0.000 2.222
2.222 2.222 0.000
2.222 2.222 2.222

***

RbCF4 (PBE, relaxed); raw formation energy = -1.291 eV/atom; SG = No. 63
1.0
2.170 -7.397 0.000
2.170 7.397 0.000
0.000 0.000 5.880
Rb C F
2 2 8
Cartesian
2.170 5.951 4.410
2.170 -5.951 1.470
2.170 1.882 4.410
2.170 -1.882 1.470
2.170 5.659 1.470
2.170 2.640 3.285
2.170 2.640 5.535
2.170 0.231 4.410
2.170 -0.231 1.470
2.170 -2.640 0.345
2.170 -2.640 2.595
2.170 -5.659 4.410

***

Rb2CF (PBE, relaxed); raw formation energy = -0.069 eV/atom; SG = No. 225; excess energy over the best structure of this formula in the dataset = 48.8 meV per atom
1.0
0.000 3.665 3.665
3.665 0.000 3.665
3.665 3.665 0.000
Rb C F
2 1 1
Cartesian
1.832 1.832 1.832
5.497 5.497 5.497
0.000 0.000 0.000
3.665 3.665 3.665

***

RbC3F (PBE, relaxed); raw formation energy = 3.991 eV/atom; SG = No. 221; excess energy over the best structure of this formula in the dataset = 749.4 meV per atom
1.0
5.918 0.000 0.000
0.000 5.918 0.000
0.000 0.000 5.918
Rb C F
1 3 1
Cartesian
0.000 0.000 0.000
0.000 0.000 2.959
0.000 2.959 0.000
2.959 0.000 0.000
2.959 2.959 2.959

***

RbReC2F (PBE, relaxed); raw formation energy = 2.730 eV/atom; SG = No. 123
1.0
4.908 0.000 0.000
0.000 4.908 0.000
0.000 0.000 3.826
Rb Re C F
1 1 2 1
Cartesian
0.000 0.000 0.000
2.454 2.454 0.000
0.000 2.454 1.913
2.454 0.000 1.913
2.454 2.454 1.913

***

Values for DFT total energy, eV per atom, ordered as above
-3.772; -2.860; -4.237; -3.327; -2.111; -4.017